1.
Material: TaPPb2
Method: DFT, GGA-PBEsol
State: relaxed

```
data_TaPPb2
_cell_length_a 7.011
_cell_length_b 7.011
_cell_length_c 7.011
_cell_angle_alpha 90.00
_cell_angle_beta 90.00
_cell_angle_gamma 90.00
_symmetry_space_group_name_H-M 'F -4 3 m'
_symmetry_Int_Tables_number 216
_symmetry_space_group_name_Hall 'F -4 2 3'
loop_
_atom_site_label
_atom_site_type_symbol
_atom_site_fract_x
_atom_site_fract_y
_atom_site_fract_z
Ta1 Ta 0.000 0.000 0.000
P1 P 0.250 0.250 0.250
Pb1 Pb 0.000 0.000 0.500
Pb2 Pb 0.250 0.250 0.750
```

Calculated values
calculated volume: 21.54 A^3/atom
electronic total energy: -5.818 eV per atom
total magnetic moment: 4.55 Bohr magnetons per cell
Fermi-level density of states: 4.0 states/eV/f.u.


2.
Material: TaPPb
Method: DFT, GGA-PBEsol
State: relaxed

```
data_TaPPb
_cell_length_a 6.407
_cell_length_b 6.407
_cell_length_c 6.407
_cell_angle_alpha 90.00
_cell_angle_beta 90.00
_cell_angle_gamma 90.00
_symmetry_space_group_name_H-M 'F -4 3 m'
_symmetry_Int_Tables_number 216
_symmetry_space_group_name_Hall 'F -4 2 3'
loop_
_atom_site_label
_atom_site_type_symbol
_atom_site_fract_x
_atom_site_fract_y
_atom_site_fract_z
Ta1 Ta 0.000 0.000 0.000
P1 P 0.250 0.250 0.750
Pb1 Pb 0.250 0.250 0.250
```

Calculated values
calculated volume: 21.92 A^3/atom
electronic total energy: -6.736 eV per atom
total magnetic moment: 0.00 Bohr magnetons per cell
Fermi-level density of states: 2.2 states/eV/f.u.


3.
Material: Tc2PPb
Method: DFT, GGA-PBEsol
State: relaxed

```
data_Tc2PPb
_cell_length_a 3.5305
_cell_length_b 3.5305
_cell_length_c 19.6656
_cell_angle_alpha 90.00
_cell_angle_beta 90.00
_cell_angle_gamma 120.00
_symmetry_space_group_name_H-M 'R -3 m'
_symmetry_Int_Tables_number 166
_symmetry_space_group_name_Hall '-R 3 2"'
loop_
_atom_site_label
_atom_site_type_symbol
_atom_site_fract_x
_atom_site_fract_y
_atom_site_fract_z
Tc1 Tc 0.0000 0.0000 0.2184
P1 P 0.0000 0.0000 0.5000
Pb1 Pb 0.0000 0.0000 0.0000
```

Calculated values
calculated volume: 17.69 A^3/atom
energy above the most stable polymorph in this dataset: 0 meV per atom
total magnetic moment: 0.00 Bohr magnetons per cell
Fermi-level density of states: 2.9 states/eV/f.u.


Among the records above, which one has the lowest calculated volume?
Tc2PPb